Record 1
VASP calculation (PBE-GGA) on an optimized crystal structure of Ti2V15Sn2.

Spin magnetization, μB per formula unit: 1.0
E_tot, eV per atom: -8.260
Calculated formation energy, meV/atom: 191

Cell lengths 9.0440, 9.0440, 12.3359 Å; angles 90.00, 90.00, 120.00 degrees
Space group R-3m (No. 166, hexagonal axes)
Inequivalent atoms, fractional coordinates:
Ti: 0.0000 0.0000 0.1370
V: 0.0000 0.3164 0.5000
V: 0.0000 0.5000 0.0000
V: 0.0138 0.5069 0.6507
Sn: 0.0000 0.0000 0.3827


Record 2
VASP calculation (PBE-GGA) on an optimized crystal structure of TiV6Sn2.

Spin magnetization, μB per formula unit: 0.0
E_tot, eV per atom: -7.660
Calculated formation energy, meV/atom: 186

Cell lengths 2.765, 7.647, 13.701 Å; angles 90.00, 90.00, 90.00 degrees
Space group Immm (No. 71)
Inequivalent atoms, fractional coordinates:
Ti: 0.000 0.000 0.000
V: 0.000 0.179 0.500
V: 0.000 0.336 0.341
Sn: 0.000 0.500 0.160


Record 3
VASP calculation (PBE-GGA) on an optimized crystal structure of TiVSn.

Spin magnetization, μB per formula unit: 0.0
E_tot, eV per atom: -7.104
Calculated formation energy, meV/atom: -98

Cell lengths 4.662, 8.062, 5.484 Å; angles 90.00, 90.00, 90.00 degrees
Space group Cmcm (No. 63)
Inequivalent atoms, fractional coordinates:
Ti: 0.000 0.167 0.250
V: 0.000 0.500 0.000
Sn: 0.000 0.166 0.750


Record 4
VASP calculation (PBE-GGA) on an optimized crystal structure of TiV2Sn2.

Spin magnetization, μB per formula unit: 0.0
E_tot, eV per atom: -6.721
Calculated formation energy, meV/atom: 107
Energy above the most stable polymorph in this dataset, meV/atom: 0

Cell lengths 7.284, 7.284, 3.409 Å; angles 90.00, 90.00, 90.00 degrees
Space group P4/mbm (No. 127)
Inequivalent atoms, fractional coordinates:
Ti: 0.000 0.000 0.000
V: 0.154 0.346 0.500
Sn: 0.145 0.645 0.000


Record 5
VASP calculation (PBE-GGA) on an optimized crystal structure of TiVSnW2.

Spin magnetization, μB per formula unit: 0.0
E_tot, eV per atom: -8.016
Calculated formation energy, meV/atom: 1369

Cell lengths 4.567, 4.567, 4.850 Å; angles 90.00, 90.00, 90.00 degrees
Space group P4/mmm (No. 123)
Inequivalent atoms, fractional coordinates:
Ti: 0.000 0.000 0.000
V: 0.500 0.500 0.500
Sn: 0.500 0.500 0.000
W: 0.000 0.500 0.500


Record 6
VASP calculation (PBE-GGA) on an optimized crystal structure of TiVSnW.

Spin magnetization, μB per formula unit: 0.0
E_tot, eV per atom: -8.488
Calculated formation energy, meV/atom: 4

Cell lengths 6.408, 6.408, 6.408 Å; angles 90.00, 90.00, 90.00 degrees
Space group F-43m (No. 216)
Inequivalent atoms, fractional coordinates:
Ti: 0.000 0.000 0.000
V: 0.000 0.000 0.500
Sn: 0.250 0.250 0.750
W: 0.250 0.250 0.250


Record 7
VASP calculation (PBE-GGA) on an optimized crystal structure of Y2TiVSn.

Spin magnetization, μB per formula unit: 0.0
E_tot, eV per atom: -6.436
Calculated formation energy, meV/atom: 353

Cell lengths 5.375, 5.375, 4.436 Å; angles 90.00, 90.00, 90.00 degrees
Space group P4/mmm (No. 123)
Inequivalent atoms, fractional coordinates:
Y: 0.000 0.500 0.000
Ti: 0.000 0.000 0.500
V: 0.000 0.000 0.000
Sn: 0.500 0.500 0.500


Record 8
VASP calculation (PBE-GGA) on an optimized crystal structure of Ti2Sn2W.

Spin magnetization, μB per formula unit: 0.0
E_tot, eV per atom: -7.290
Calculated formation energy, meV/atom: 60

Cell lengths 7.158, 7.158, 3.678 Å; angles 90.00, 90.00, 90.00 degrees
Space group P4/mbm (No. 127)
Inequivalent atoms, fractional coordinates:
Ti: 0.165 0.335 0.000
Sn: 0.140 0.640 0.500
W: 0.000 0.000 0.500


Record 9
VASP calculation (PBE-GGA) on an optimized crystal structure of Ti8Sn2W.

Spin magnetization, μB per formula unit: 0.0
E_tot, eV per atom: -7.804
Calculated formation energy, meV/atom: -157

Cell lengths 4.694, 6.331, 13.424 Å; angles 90.00, 90.00, 90.00 degrees
Space group Immm (No. 71)
Inequivalent atoms, fractional coordinates:
Ti: 0.000 0.000 0.168
Ti: 0.000 0.231 0.364
Ti: 0.000 0.259 0.000
Sn: 0.000 0.500 0.188
W: 0.000 0.500 0.500


Record 10
VASP calculation (PBE-GGA) on an optimized crystal structure of TiSnW3.

Spin magnetization, μB per formula unit: 0.0
E_tot, eV per atom: -8.366
Calculated formation energy, meV/atom: 1786
Energy above the most stable polymorph in this dataset, meV/atom: 0

Cell lengths 4.637, 4.637, 4.637 Å; angles 90.00, 90.00, 90.00 degrees
Space group Pm-3m (No. 221)
Inequivalent atoms, fractional coordinates:
Ti: 0.000 0.000 0.000
Sn: 0.500 0.500 0.500
W: 0.000 0.000 0.500


Record 11
VASP calculation (PBE-GGA) on an optimized crystal structure of TiSnW3.

Spin magnetization, μB per formula unit: 0.0
E_tot, eV per atom: -7.619
Calculated formation energy, meV/atom: 2532
Energy above the most stable polymorph in this dataset, meV/atom: 746

Cell lengths 4.851, 4.851, 4.851 Å; angles 90.00, 90.00, 90.00 degrees
Space group Pm-3m (No. 221)
Inequivalent atoms, fractional coordinates:
Ti: 0.000 0.000 0.000
Sn: 0.500 0.500 0.500
W: 0.000 0.500 0.500


Record 12
VASP calculation (PBE-GGA) on an optimized crystal structure of TiSnW2.

Spin magnetization, μB per formula unit: 0.0
E_tot, eV per atom: -8.789
Calculated formation energy, meV/atom: 662

Cell lengths 3.873, 3.873, 19.987 Å; angles 90.00, 90.00, 90.00 degrees
Space group I-42d (No. 122)
Inequivalent atoms, fractional coordinates:
Ti: 0.000 0.000 0.000
Sn: 0.000 0.000 0.500
W: 0.241 0.250 0.125